# 1
MnOsPb2 at its PBEsol-relaxed geometry, computed with SCAN.

- ΔH_f (0 K): 0.838 eV/atom
- N(E_F): 4.89 states/eV/cell
- Distance to the lowest polymorph of the same formula: 0.53 eV per formula unit
- Energy: -59.586 eV per atom

abc: 3.2815 5.3738 8.9629
angles: 90.00 90.00 90.00
Fractional positions:
Mn: 0.0000 0.0000 0.0000
Mn: 0.5000 0.5000 0.0000
Os: 0.0000 0.0000 0.5000
Os: 0.5000 0.5000 0.5000
Pb: 0.0000 0.5000 0.2544
Pb: 0.0000 0.5000 0.7456
Pb: 0.5000 0.0000 0.2544
Pb: 0.5000 0.0000 0.7456

# 2
Ba3CrNi at its PBEsol-relaxed geometry, computed with SCAN.

- ΔH_f (0 K): 1.017 eV/atom
- N(E_F): 10.26 states/eV/cell
- Energy: -29.624 eV per atom

abc: 5.7717 5.7717 5.7717
angles: 90.00 90.00 90.00
Fractional positions:
Ba: 0.0000 0.0000 0.5000
Ba: 0.0000 0.5000 0.0000
Ba: 0.5000 0.0000 0.0000
Cr: 0.0000 0.0000 0.0000
Ni: 0.5000 0.5000 0.5000

# 3
LiSeCl2 at its PBEsol-relaxed geometry, computed with SCAN.

- Uncorrected formation energy: -0.37 eV per atom
- N(E_F): 3.42 states/eV/cell
- Distance to the lowest polymorph of the same formula: 1.11 eV per formula unit
- Energy: -9.973 eV per atom

abc: 6.9247 6.9247 6.9247
angles: 90.00 90.00 90.00
Fractional positions:
Li: 0.0000 0.0000 0.0000
Li: 0.0000 0.5000 0.5000
Li: 0.5000 0.0000 0.5000
Li: 0.5000 0.5000 0.0000
Se: 0.0000 0.0000 0.5000
Se: 0.0000 0.5000 0.0000
Se: 0.5000 0.0000 0.0000
Se: 0.5000 0.5000 0.5000
Cl: 0.2500 0.2500 0.2500
Cl: 0.2500 0.2500 0.7500
Cl: 0.2500 0.7500 0.2500
Cl: 0.2500 0.7500 0.7500
Cl: 0.7500 0.2500 0.2500
Cl: 0.7500 0.2500 0.7500
Cl: 0.7500 0.7500 0.2500
Cl: 0.7500 0.7500 0.7500

# 4
CaScCo4 at its PBEsol-relaxed geometry, computed with SCAN.

- ΔH_f (0 K): -0.001 eV/atom
- N(E_F): 6.38 states/eV/cell
- Energy: -15.521 eV per atom

abc: 4.8930 4.8930 4.8930
angles: 60.00 60.00 60.00
Fractional positions:
Ca: 0.0000 0.0000 0.0000
Sc: 0.2500 0.2500 0.2500
Co: 0.1272 0.6243 0.6243
Co: 0.6243 0.1272 0.6243
Co: 0.6243 0.6243 0.1272
Co: 0.6243 0.6243 0.6243

# 5
Y3ClO at its PBEsol-relaxed geometry, computed with SCAN.

- Uncorrected formation energy: -1.09 eV per atom
- N(E_F): 4.44 states/eV/cell
- Distance to the lowest polymorph of the same formula: 0.00 eV per formula unit
- Energy: -20.641 eV per atom

abc: 4.7255 4.7255 4.7255
angles: 90.00 90.00 90.00
Fractional positions:
Y: 0.0000 0.0000 0.5000
Y: 0.0000 0.5000 0.0000
Y: 0.5000 0.0000 0.0000
Cl: 0.5000 0.5000 0.5000
O: 0.0000 0.0000 0.0000

# 6
LiBeH4NF4 at its PBEsol-relaxed geometry, computed with SCAN.

- N(E_F): 0.00 states/eV/cell
- Energy: -6.035 eV per atom

abc: 9.4561 4.8890 8.9224
angles: 90.00 90.00 90.00
Fractional positions:
Li: 0.1002 0.1316 0.0000
Li: 0.3998 0.1316 0.5000
Li: 0.6002 0.8684 0.0000
Li: 0.8998 0.8684 0.5000
Be: 0.0950 0.1187 0.6197
Be: 0.4050 0.1187 0.1197
Be: 0.5950 0.8813 0.6197
Be: 0.9050 0.8813 0.1197
H: 0.1510 0.6682 0.2200
H: 0.1692 0.6710 0.4136
H: 0.1998 0.7838 0.8002
H: 0.2358 0.4461 0.8071
H: 0.2642 0.4461 0.3071
H: 0.3002 0.7838 0.3002
H: 0.3308 0.6710 0.9136
H: 0.3490 0.6682 0.7200
H: 0.6510 0.3318 0.2200
H: 0.6692 0.3290 0.4136
H: 0.6998 0.2162 0.8002
H: 0.7358 0.5539 0.8071
H: 0.7642 0.5539 0.3071
H: 0.8002 0.2162 0.3002
H: 0.8308 0.3290 0.9136
H: 0.8490 0.3318 0.7200
N: 0.2202 0.6400 0.3109
N: 0.2798 0.6400 0.8109
N: 0.7202 0.3600 0.3109
N: 0.7798 0.3600 0.8109
F: 0.0528 0.7669 0.0725
F: 0.0849 0.8103 0.5694
F: 0.1123 0.1308 0.7945
F: 0.2254 0.2540 0.5504
F: 0.2746 0.2540 0.0504
F: 0.3877 0.1308 0.2945
F: 0.4151 0.8103 0.0694
F: 0.4472 0.7669 0.5725
F: 0.5528 0.2331 0.0725
F: 0.5849 0.1897 0.5694
F: 0.6123 0.8692 0.7945
F: 0.7254 0.7460 0.5504
F: 0.7746 0.7460 0.0504
F: 0.8877 0.8692 0.2945
F: 0.9151 0.1897 0.0694
F: 0.9472 0.2331 0.5725

# 7
CaMgNi4 at its PBEsol-relaxed geometry, computed with SCAN.

- ΔH_f (0 K): -0.154 eV/atom
- N(E_F): 6.97 states/eV/cell
- Energy: -13.376 eV per atom

abc: 4.8694 4.8694 4.8694
angles: 60.00 60.00 60.00
Fractional positions:
Ca: 0.0000 0.0000 0.0000
Mg: 0.2500 0.2500 0.2500
Ni: 0.1269 0.6244 0.6244
Ni: 0.6244 0.1269 0.6244
Ni: 0.6244 0.6244 0.1269
Ni: 0.6244 0.6244 0.6244

# 8
AlCr4Re at its PBEsol-relaxed geometry, computed with SCAN.

- ΔH_f (0 K): -0.063 eV/atom
- N(E_F): 4.15 states/eV/cell
- Energy: -25.461 eV per atom

abc: 4.6980 4.6980 4.6980
angles: 60.00 60.00 60.00
Fractional positions:
Al: 0.0000 0.0000 0.0000
Cr: 0.3745 0.3745 0.3745
Cr: 0.3745 0.3745 0.8764
Cr: 0.3745 0.8764 0.3745
Cr: 0.8764 0.3745 0.3745
Re: 0.7500 0.7500 0.7500

# 9
BAsI3 at its PBEsol-relaxed geometry, computed with SCAN.

- Uncorrected formation energy: 1.08 eV per atom
- N(E_F): 3.42 states/eV/cell
- Energy: -26.493 eV per atom

abc: 4.9773 4.9773 4.9773
angles: 90.00 90.00 90.00
Fractional positions:
B: 0.0000 0.0000 0.0000
As: 0.5000 0.5000 0.5000
I: 0.0000 0.0000 0.5000
I: 0.0000 0.5000 0.0000
I: 0.5000 0.0000 0.0000

# 10
MgSc2Co at its PBEsol-relaxed geometry, computed with SCAN.

- ΔH_f (0 K): 0.018 eV/atom
- N(E_F): 4.83 states/eV/cell
- Energy: -12.670 eV per atom

abc: 3.3268 3.7465 12.9317
angles: 90.00 90.00 90.00
Fractional positions:
Mg: 0.0000 0.0000 0.0000
Mg: 0.0000 0.5000 0.5000
Sc: 0.0000 0.0000 0.6927
Sc: 0.0000 0.5000 0.1927
Sc: 0.5000 0.0000 0.3493
Sc: 0.5000 0.5000 0.8493
Co: 0.5000 0.0000 0.1626
Co: 0.5000 0.5000 0.6626

# 11
BeWCl2 at its PBEsol-relaxed geometry, computed with SCAN.

- Uncorrected formation energy: 0.05 eV per atom
- N(E_F): 3.80 states/eV/cell
- Distance to the lowest polymorph of the same formula: 0.84 eV per formula unit
- Energy: -22.449 eV per atom

abc: 3.1193 3.4782 13.9126
angles: 90.00 90.00 90.00
Fractional positions:
Be: 0.0000 0.0000 0.0000
Be: 0.5000 0.5000 0.5000
W: 0.0000 0.0000 0.5000
W: 0.5000 0.5000 0.0000
Cl: 0.0000 0.5000 0.1378
Cl: 0.0000 0.5000 0.8622
Cl: 0.5000 0.0000 0.3622
Cl: 0.5000 0.0000 0.6378

# 12
IrOsW2 at its PBEsol-relaxed geometry, computed with SCAN.

- ΔH_f (0 K): -0.128 eV/atom
- N(E_F): 3.52 states/eV/cell
- Distance to the lowest polymorph of the same formula: 0.13 eV per formula unit
- Energy: -70.717 eV per atom

abc: 2.7749 4.4565 4.7803
angles: 90.00 90.00 90.00
Fractional positions:
Ir: 0.0000 0.0000 0.0000
Os: 0.0000 0.5000 0.6431
W: 0.5000 0.0000 0.4978
W: 0.5000 0.5000 0.1473

# 13
MnPPd3 at its PBEsol-relaxed geometry, computed with SCAN.

- ΔH_f (0 K): -0.248 eV/atom
- N(E_F): 1.94 states/eV/cell
- Distance to the lowest polymorph of the same formula: 0.00 eV per formula unit
- Energy: -25.643 eV per atom

abc: 4.4041 4.4041 4.4041
angles: 90.00 90.00 90.00
Fractional positions:
Mn: 0.0000 0.0000 0.0000
P: 0.5000 0.5000 0.5000
Pd: 0.0000 0.5000 0.5000
Pd: 0.5000 0.0000 0.5000
Pd: 0.5000 0.5000 0.0000

# 14
MnAgAu2 at its PBEsol-relaxed geometry, computed with SCAN.

- ΔH_f (0 K): -0.230 eV/atom
- N(E_F): 2.82 states/eV/cell
- Energy: -47.214 eV per atom

abc: 5.7748 7.7104 2.9066
angles: 90.00 90.00 90.00
Fractional positions:
Mn: 0.0000 0.0000 0.0000
Mn: 0.5000 0.5000 0.0000
Ag: 0.0000 0.5000 0.0000
Ag: 0.5000 0.0000 0.0000
Au: 0.2500 0.2500 0.5000
Au: 0.2500 0.7500 0.5000
Au: 0.7500 0.2500 0.5000
Au: 0.7500 0.7500 0.5000

# 15
MnTe2Os at its PBEsol-relaxed geometry, computed with SCAN.

- Uncorrected formation energy: 0.18 eV per atom
- N(E_F): 4.04 states/eV/cell
- Energy: -40.983 eV per atom

abc: 4.0421 4.0421 17.8317
angles: 90.00 90.00 120.00
Fractional positions:
Mn: 0.0000 0.0000 0.0000
Mn: 0.3333 0.6667 0.6667
Mn: 0.6667 0.3333 0.3333
Te: 0.0000 0.0000 0.2409
Te: 0.0000 0.0000 0.7591
Te: 0.3333 0.6667 0.4258
Te: 0.3333 0.6667 0.9075
Te: 0.6667 0.3333 0.0925
Te: 0.6667 0.3333 0.5742
Os: 0.0000 0.0000 0.5000
Os: 0.3333 0.6667 0.1667
Os: 0.6667 0.3333 0.8333

# 16
Mg2ZnOs at its PBEsol-relaxed geometry, computed with SCAN.

- ΔH_f (0 K): 0.113 eV/atom
- N(E_F): 2.50 states/eV/cell
- Energy: -23.723 eV per atom

abc: 3.1870 3.1870 6.5621
angles: 90.00 90.00 90.00
Fractional positions:
Mg: 0.0000 0.0000 0.0000
Mg: 0.5000 0.5000 0.3302
Zn: 0.5000 0.5000 0.7494
Os: 0.0000 0.0000 0.5647

# 17
KNiAs3 at its PBEsol-relaxed geometry, computed with SCAN.

- ΔH_f (0 K): 0.160 eV/atom
- N(E_F): 5.19 states/eV/cell
- Energy: -16.855 eV per atom

abc: 4.7309 4.7309 4.7309
angles: 90.00 90.00 90.00
Fractional positions:
K: 0.0000 0.0000 0.0000
Ni: 0.5000 0.5000 0.5000
As: 0.0000 0.5000 0.5000
As: 0.5000 0.0000 0.5000
As: 0.5000 0.5000 0.0000

# 18
CaCd2Cl at its PBEsol-relaxed geometry, computed with SCAN.

- Uncorrected formation energy: -0.79 eV per atom
- N(E_F): 2.12 states/eV/cell
- Distance to the lowest polymorph of the same formula: 0.12 eV per formula unit
- Energy: -20.407 eV per atom

abc: 4.0084 4.0084 6.2171
angles: 90.00 90.00 90.00
Fractional positions:
Ca: 0.0000 0.0000 0.0000
Cd: 0.0000 0.5000 0.5000
Cd: 0.5000 0.0000 0.5000
Cl: 0.5000 0.5000 0.0000

# 19
MgReBr at its PBEsol-relaxed geometry, computed with SCAN.

- Uncorrected formation energy: 1.52 eV per atom
- N(E_F): 3.91 states/eV/cell
- Distance to the lowest polymorph of the same formula: 2.49 eV per formula unit
- Energy: -30.325 eV per atom

abc: 6.1500 6.1500 6.1500
angles: 90.00 90.00 90.00
Fractional positions:
Mg: 0.0000 0.0000 0.0000
Mg: 0.0000 0.5000 0.5000
Mg: 0.5000 0.0000 0.5000
Mg: 0.5000 0.5000 0.0000
Re: 0.0000 0.0000 0.5000
Re: 0.0000 0.5000 0.0000
Re: 0.5000 0.0000 0.0000
Re: 0.5000 0.5000 0.5000
Br: 0.2500 0.2500 0.7500
Br: 0.2500 0.7500 0.2500
Br: 0.7500 0.2500 0.2500
Br: 0.7500 0.7500 0.7500

# 20
LiIrW at its PBEsol-relaxed geometry, computed with SCAN.

- ΔH_f (0 K): 0.956 eV/atom
- N(E_F): 14.26 states/eV/cell
- Energy: -46.770 eV per atom

abc: 5.5061 5.5061 5.5061
angles: 90.00 90.00 90.00
Fractional positions:
Li: 0.0000 0.0000 0.0000
Li: 0.0000 0.5000 0.5000
Li: 0.5000 0.0000 0.5000
Li: 0.5000 0.5000 0.0000
Ir: 0.2500 0.2500 0.7500
Ir: 0.2500 0.7500 0.2500
Ir: 0.7500 0.2500 0.2500
Ir: 0.7500 0.7500 0.7500
W: 0.2500 0.2500 0.2500
W: 0.2500 0.7500 0.7500
W: 0.7500 0.2500 0.7500
W: 0.7500 0.7500 0.2500